5
Lattice="4.936 0.000 0.000 0.000 4.936 0.000 0.000 0.000 2.913" Properties=species:S:1:pos:R:3 comment="MnBeP2O | Alexandria | GGA+U | optimized geometry" relative_energy_ev_per_atom=0.000 total_energy_ev_per_cell=-27.84 sg="No. 123" magnetic_moment_mub_per_cell=4.64 pbc="T T T"
P 2.468 0.000 0.000
Be 0.000 0.000 0.000
O 0.000 0.000 1.456
P 0.000 2.468 0.000
Mn 2.468 2.468 1.456